Sr4Fe3O10 | GGA+U | relaxed

The space group is I4/mmm (No. 139) and the conventional cell measures 3.916, 3.916 and 28.110 Å, with angles of 90.00, 90.00 and 90.00 degrees. The distinct sites, in fractional coordinates, are Sr at (0.000, 0.000, 0.069), Sr at (0.000, 0.000, 0.201), Fe at (0.000, 0.000, 0.360), Fe at (0.000, 0.000, 0.500), O at (0.000, 0.000, 0.291), O at (0.000, 0.000, 0.430), O at (0.000, 0.500, 0.000) and O at (0.000, 0.500, 0.139).

The total energy comes out at -107.83 eV/f.u. The crystal system is tetragonal.